This record from Alexandria describes Ho6Cd2Ga after structural relaxation. The functional is GGA-PBE.

Summary:
Symmetry: Immm
Energy of formation from the pure elements (meV per atom): -207
Calculated volume (Å³/cell): 497.3
DFT total energy (eV per atom): -3.80

abc: 8.651 8.651 8.651
angles: 111.94 109.76 106.76
Element x y z (fractional)
Ho: 0.193 0.259 0.452
Ho: 0.193 0.741 0.933
Ho: 0.918 0.744 0.174
Ho: 0.262 0.591 0.329
Ho: 0.569 0.744 0.826
Ho: 0.738 0.409 0.671
Ho: 0.262 0.934 0.671
Ho: 0.807 0.741 0.548
Ho: 0.807 0.259 0.067
Ho: 0.431 0.256 0.174
Ho: 0.738 0.066 0.329
Ho: 0.082 0.256 0.826
Cd: 0.500 0.358 0.858
Cd: 0.359 0.000 0.359
Cd: 0.641 0.000 0.641
Cd: 0.500 0.642 0.142
Ga: 0.000 0.500 0.500
Ga: 0.000 0.000 0.000